A plane-wave DFT calculation with PBE was carried out for a relaxed structure of LaNbGe2Pd.

Properties
Magnetic moment (μB per formula unit): 0.492
Total DFT energy (no corrections) (eV/atom): -4.2550
SG: P4/mmm, No. 123
Calculated density (g/cm³): 5.39
DFT formation energy (meV/atom): 1630

a = 5.435 Å, b = 5.435 Å, c = 5.043 Å
α = 90.00°, β = 90.00°, γ = 90.00°
Positions (direct):
La 0.000 0.000 0.000
Nb 0.000 0.000 0.500
Ge 0.000 0.500 0.000
Ge 0.500 0.000 0.000
Pd 0.500 0.500 0.500


A plane-wave DFT calculation with PBE was carried out for a relaxed structure of GeCl2F.

Properties
Magnetic moment (μB per formula unit): 1.000
Total DFT energy (no corrections) (eV/atom): -3.0016
SG: R-3m, No. 166
Calculated density (g/cm³): 2.64
Formation energy without anion corrections (eV per atom): -0.456

a = 7.921 Å, b = 7.921 Å, c = 7.921 Å
α = 28.87°, β = 28.87°, γ = 28.87°
Positions (direct):
Ge 0.000 0.000 0.000
Cl 0.397 0.397 0.397
Cl 0.603 0.603 0.603
F 0.500 0.500 0.500


A plane-wave DFT calculation with PBE was carried out for a relaxed structure of Ti6MnGa3.

Properties
Magnetic moment (μB per formula unit): 0.001
Total DFT energy (no corrections) (eV/atom): -6.9165
SG: P2_1/m, No. 11
Calculated density (g/cm³): 5.90
DFT formation energy (meV/atom): -354

a = 7.604 Å, b = 4.496 Å, c = 9.537 Å
α = 90.00°, β = 107.98°, γ = 90.00°
Positions (direct):
Ti 0.044 0.250 0.413
Ti 0.169 0.750 0.187
Ti 0.271 0.250 0.008
Ti 0.350 0.250 0.314
Ti 0.358 0.750 0.811
Ti 0.437 0.250 0.626
Ti 0.563 0.750 0.374
Ti 0.642 0.250 0.189
Ti 0.650 0.750 0.686
Ti 0.729 0.750 0.992
Ti 0.831 0.250 0.813
Ti 0.956 0.750 0.587
Mn 0.453 0.750 0.096
Mn 0.547 0.250 0.904
Ga 0.036 0.750 0.888
Ga 0.138 0.250 0.714
Ga 0.276 0.750 0.485
Ga 0.724 0.250 0.515
Ga 0.862 0.750 0.286
Ga 0.964 0.250 0.112


Question: Look up the total DFT energy (no corrections) of the third one.
Answer: -6.9165 eV/atom